Pr3CoO6, relaxed, DFT PBE with a Hubbard U; size of the total moment = 2.050 μB/f.u.; energy relative to the lowest polymorph listed for this composition = 142.4 meV/atom; VASP energy = -7.531 eV/atom; crystal system = monoclinic; calculated volume = 298.7 Å³ per cell
1.0
-5.4072 1.0840 1.2737
-0.2534 -4.8794 3.0769
3.5862 4.3787 7.2392
O Co Pr
12 2 6
Direct
0.3157 0.7629 0.4301
0.6419 0.4269 0.2465
0.7460 0.1976 0.9206
0.2540 0.8024 0.0794
0.1843 0.2629 0.0699
0.6843 0.2371 0.5699
0.2460 0.3024 0.4206
0.1419 0.0731 0.7465
0.3581 0.5731 0.7535
0.8157 0.7371 0.9301
0.7540 0.6976 0.5794
0.8581 0.9269 0.2535
0.5000 0.5000 0.5000
0.0000 0.0000 0.0000
0.0331 0.5489 0.2408
0.5000 0.5000 0.0000
0.4669 0.0489 0.2592
0.9669 0.4511 0.7592
0.5331 0.9511 0.7408
0.0000 0.0000 0.5000